The following is a GGA-PBEsol calculation of SrCa2Cl after structural relaxation, from the Alexandria database.

Values from the calculation:
* E: -11.134 eV for the cell shown
* crystal system: monoclinic
* magnetization: 0.1 μB per formula unit
* energy above the most stable polymorph in this dataset: 0 meV per atom
* formation energy from raw total energies: -3.02 eV/f.u.
* space group: P2/m (10)

```
SrCa2Cl
1.0
3.862 0.000 0.000
0.000 6.565 -0.041
0.000 -3.217 5.701
Sr Ca Cl
1 2 1
Direct
0.500 0.500 0.000
0.000 0.131 0.315
0.000 0.869 0.685
0.500 0.500 0.500
```

The following is a GGA-PBEsol calculation of GaReSe3 after structural relaxation, from the Alexandria database.

Values from the calculation:
* E: -21.769 eV for the cell shown
* crystal system: cubic
* magnetization: 3.6 μB per formula unit
* energy above the most stable polymorph in this dataset: 916 meV per atom
* formation energy from raw total energies: 6.45 eV/f.u.
* space group: Pm-3m (221)

```
GaReSe3
1.0
-2.867 -2.207 -3.151
1.965 -4.219 1.166
-3.307 -0.594 3.425
Re Ga Se
1 1 3
Direct
0.500 0.500 0.500
0.000 0.000 0.000
0.000 0.500 0.000
0.000 0.000 0.500
0.500 0.000 0.000
```

The following is a GGA-PBEsol calculation of KBe2Se after structural relaxation, from the Alexandria database.

Values from the calculation:
* E: -22.100 eV for the cell shown
* crystal system: tetragonal
* magnetization: 0.1 μB per formula unit
* formation energy from raw total energies: 1.93 eV/f.u.
* space group: I-42d (122)

```
KBe2Se
1.0
6.074 -0.015 0.000
-3.032 5.263 0.000
-1.521 -2.624 5.263
Be K Se
4 2 2
Direct
0.969 0.875 0.594
0.281 0.375 0.406
0.125 0.719 0.094
0.625 0.031 0.906
0.500 0.500 0.000
0.750 0.250 0.500
0.000 0.000 0.000
0.250 0.750 0.500
```

The following is a GGA-PBEsol calculation of KIrW3 after structural relaxation, from the Alexandria database.

Values from the calculation:
* E: -41.479 eV for the cell shown
* crystal system: cubic
* magnetization: 1.3 μB per formula unit
* space group: Pm-3m (221)

```
KIrW3
1.0
-3.910 0.456 -2.818
-2.639 -2.398 3.274
-1.087 4.180 2.186
K Ir W
1 1 3
Direct
0.500 0.500 0.500
0.000 0.000 0.000
0.000 0.500 0.000
0.000 0.000 0.500
0.500 0.000 0.000
```

The following is a GGA-PBEsol calculation of CsZr3Cl after structural relaxation, from the Alexandria database.

Values from the calculation:
* E: -27.562 eV for the cell shown
* crystal system: cubic
* magnetization: 0.0 μB per formula unit
* formation energy from raw total energies: 2.66 eV/f.u.
* space group: Pm-3m (221)

```
CsZr3Cl
1.0
-2.945 1.909 -3.484
-3.921 -0.699 2.931
0.639 4.508 1.930
Cs Zr Cl
1 3 1
Direct
0.500 0.500 0.500
0.000 0.500 0.000
0.000 0.000 0.500
0.500 0.000 0.000
0.000 0.000 0.000
```

The following is a GGA-PBEsol calculation of LaNiCl2 after structural relaxation, from the Alexandria database.

Values from the calculation:
* E: -19.314 eV for the cell shown
* crystal system: monoclinic
* magnetization: 0.0 μB per formula unit
* energy above the most stable polymorph in this dataset: 168 meV per atom
* formation energy from raw total energies: -3.79 eV/f.u.
* space group: P2/m (10)

```
LaNiCl2
1.0
-2.471 -0.488 2.437
2.600 -0.025 2.632
-0.419 5.899 0.470
Ni Cl La
1 2 1
Direct
0.000 0.500 0.500
0.987 0.000 0.746
0.013 0.000 0.254
0.500 0.500 0.000
```

The following is a GGA-PBEsol calculation of BeZnGa2Os after structural relaxation, from the Alexandria database.

Values from the calculation:
* E: -18.142 eV for the cell shown
* crystal system: tetragonal
* magnetization: 0.5 μB per formula unit
* space group: P4/mmm (123)

```
BeZnGa2Os
1.0
3.934 0.000 0.000
0.000 4.467 0.000
0.000 0.000 4.467
Be Zn Os Ga
1 1 1 2
Direct
0.500 0.000 0.000
0.000 0.000 0.000
0.500 0.500 0.500
0.000 0.000 0.500
0.000 0.500 0.000
```

The following is a GGA-PBEsol calculation of TaMnAu2 after structural relaxation, from the Alexandria database.

Values from the calculation:
* E: -29.985 eV for the cell shown
* crystal system: monoclinic
* magnetization: 2.8 μB per formula unit
* space group: Cm (8)

```
TaMnAu2
1.0
2.863 0.000 0.000
-1.432 4.631 0.010
0.000 -0.998 4.819
Au Mn Ta
2 1 1
Direct
0.997 0.993 0.989
0.757 0.514 0.264
0.505 0.010 0.498
0.242 0.483 0.749
```